# HfGeRuI2 GGA-PBE optimized geometry
data_HfGeRuI2
_symmetry_space_group_name_H-M 'P 1'
_symmetry_Int_Tables_number 1
_cell_length_a 5.5998
_cell_length_b 4.8375
_cell_length_c 5.5998
_cell_angle_alpha 90.00
_cell_angle_beta 90.00
_cell_angle_gamma 90.00
loop_
_symmetry_equiv_pos_as_xyz
'x,y,z'
loop_
_atom_site_label
_atom_site_type_symbol
_atom_site_fract_x
_atom_site_fract_y
_atom_site_fract_z
Hf1 Hf 0.0000 0.0000 0.0000
I1 I 0.0000 0.0000 0.5000
I2 I 0.5000 0.0000 0.0000
Ge1 Ge 0.5000 0.5000 0.5000
Ru1 Ru 0.0000 0.5000 0.0000
# **Space group**: P4/mmm
# **Energy**: -4.52 eV per atom
# **Formation energy from raw total energies**: 872 meV/atom